Here is crystalline RbLi3Cu at its relaxed geometry from Alexandria via LeMat-Bulk. Energies are from PBE.

Calculated values
**Polymorph energy (0 for the lowest one)**: 0.881 eV per atom
**DFT total energy**: -5.4 eV/cell
**DOS(E_F)**: 1.9 states/eV/f.u.
**Space group**: Pm-3m
**E_form**: 1.084 eV/atom

Cell lengths 5.207, 5.207, 5.207 Å; angles 90.00, 90.00, 90.00 degrees
Positions (direct):
Li1 0.000 0.500 0.000
Rb1 0.000 0.000 0.000
Li2 0.500 0.000 0.000
Cu1 0.500 0.500 0.500
Li3 0.000 0.000 0.500

---

Here is crystalline BaAs2PbO8 at its relaxed geometry from Alexandria via LeMat-Bulk. Energies are from PBE.

Calculated values
**DFT total energy**: -72.1 eV/cell
**Space group**: R32
**Uncorrected formation energy**: -1.4547 eV per atom

Cell lengths 5.097, 5.097, 8.853 Å; angles 73.27, 73.27, 60.00 degrees
Positions (direct):
O1 0.770 0.455 0.671
O2 0.104 0.770 0.671
Pb1 0.500 0.500 0.500
As1 0.244 0.244 0.267
O3 0.688 0.688 0.937
As2 0.756 0.756 0.733
O4 0.312 0.312 0.063
O5 0.545 0.230 0.329
Ba1 0.000 0.000 0.000
O6 0.455 0.104 0.671
O7 0.896 0.545 0.329
O8 0.230 0.896 0.329

---

Here is crystalline HfTl2Br5Cl at its relaxed geometry from Alexandria via LeMat-Bulk. Energies are from PBE.

Calculated values
**DFT total energy**: -36.1 eV/cell
**DOS(E_F)**: 0.0 states/eV/f.u.
**Space group**: I4mm
**Uncorrected formation energy**: -1.2476 eV per atom

Cell lengths 7.626, 7.626, 7.626 Å; angles 89.86, 120.08, 120.08 degrees
Positions (direct):
Tl1 0.500 0.707 0.207
Hf1 0.000 0.007 0.007
Tl2 0.500 0.207 0.707
Br1 0.511 0.767 0.767
Br2 0.000 0.767 0.256
Br3 0.489 0.256 0.256
Br4 0.000 0.250 0.250
Br5 0.000 0.256 0.767
Cl1 0.000 0.782 0.782

---

Here is crystalline Sm2HSe at its relaxed geometry from Alexandria via LeMat-Bulk. Energies are from PBE.

Calculated values
**Polymorph energy (0 for the lowest one)**: 0.019 eV per atom
**DFT total energy**: -20.3 eV/cell
**DOS(E_F)**: 3.6 states/eV/f.u.
**Space group**: R-3m

Cell lengths 3.840, 3.840, 7.086 Å; angles 74.28, 74.28, 60.00 degrees
Positions (direct):
Sm1 0.738 0.738 0.786
Se1 0.500 0.500 0.500
H1 0.000 0.000 0.000
Sm2 0.262 0.262 0.214

---

Here is crystalline YMg2Cu2 at its relaxed geometry from Alexandria via LeMat-Bulk. Energies are from PBE.

Calculated values
**Polymorph energy (0 for the lowest one)**: 0.046 eV per atom
**DFT total energy**: -36.8 eV/cell
**DOS(E_F)**: 3.5 states/eV/f.u.
**Space group**: P2_1/m
**E_form**: -0.106 eV/atom

Cell lengths 3.800, 4.850, 11.040 Å; angles 83.28, 90.00, 90.00 degrees
Positions (direct):
Cu1 0.250 0.362 0.034
Mg1 0.250 0.849 0.105
Y1 0.250 0.687 0.756
Mg2 0.750 0.748 0.507
Mg3 0.750 0.151 0.895
Cu2 0.750 0.638 0.966
Cu3 0.250 0.796 0.340
Y2 0.750 0.313 0.244
Cu4 0.750 0.204 0.660
Mg4 0.250 0.252 0.493

---

Here is crystalline PrNiH at its relaxed geometry from Alexandria via LeMat-Bulk. Energies are from PBE.

Calculated values
**Polymorph energy (0 for the lowest one)**: 0.301 eV per atom
**DFT total energy**: -14.1 eV/cell
**DOS(E_F)**: 1.2 states/eV/f.u.
**Space group**: P-6m2

Cell lengths 3.599, 3.894, 3.894 Å; angles 120.00, 90.00, 90.00 degrees
Positions (direct):
H1 0.166 0.667 0.333
Ni1 0.167 0.000 0.000
Pr1 0.667 0.333 0.667

---

Here is crystalline NdTm4 at its relaxed geometry from Alexandria via LeMat-Bulk. Energies are from PBE.

Calculated values
**Polymorph energy (0 for the lowest one)**: 0.000 eV per atom
**DFT total energy**: -22.6 eV/cell
**DOS(E_F)**: 6.2 states/eV/f.u.
**Space group**: C2/m
**E_form**: 0.011 eV/atom

Cell lengths 3.540, 3.542, 16.388 Å; angles 64.43, 115.50, 119.96 degrees
Positions (direct):
Tm1 0.605 0.395 0.204
Tm2 0.395 0.605 0.796
Tm3 0.533 0.467 0.400
Tm4 0.467 0.533 0.600
Nd1 0.000 0.000 0.000

---

Here is crystalline Ho3Ge6Pt20 at its relaxed geometry from Alexandria via LeMat-Bulk. Energies are from PBE.

Calculated values
**DFT total energy**: -179.2 eV/cell
**DOS(E_F)**: 15.9 states/eV/f.u.
**Space group**: Fm-3m
**E_form**: -0.585 eV/atom

Cell lengths 8.882, 8.882, 8.882 Å; angles 60.00, 60.00, 60.00 degrees
Positions (direct):
Pt1 0.000 0.653 0.000
Pt2 0.347 0.653 0.000
Pt3 0.347 0.000 0.653
Pt4 0.653 0.000 0.000
Ho1 0.250 0.250 0.250
Pt5 0.000 0.347 0.000
Ge1 0.731 0.269 0.269
Ge2 0.269 0.731 0.731
Pt6 0.000 0.000 0.653
Pt7 0.620 0.620 0.140
Ge3 0.269 0.269 0.731
Pt8 0.347 0.000 0.000
Pt9 0.860 0.380 0.380
Ho2 0.750 0.750 0.750
Pt10 0.140 0.620 0.620
Pt11 0.380 0.860 0.380
Ge4 0.731 0.731 0.269
Pt12 0.000 0.347 0.653
Pt13 0.000 0.000 0.347
Pt14 0.380 0.380 0.860
Ge5 0.731 0.269 0.731
Pt15 0.620 0.620 0.620
Pt16 0.380 0.380 0.380
Ge6 0.269 0.731 0.269
Pt17 0.653 0.347 0.000
Ho3 0.000 0.000 0.000
Pt18 0.620 0.140 0.620
Pt19 0.653 0.000 0.347
Pt20 0.000 0.653 0.347

---

Here is crystalline LiInGaRu at its relaxed geometry from Alexandria via LeMat-Bulk. Energies are from PBE.

Calculated values
**DFT total energy**: -17.8 eV/cell
**DOS(E_F)**: 2.2 states/eV/f.u.
**Space group**: F-43m
**E_form**: -0.206 eV/atom

Cell lengths 4.462, 4.462, 4.462 Å; angles 60.00, 60.00, 60.00 degrees
Positions (direct):
Ga1 0.000 0.000 0.000
Li1 0.250 0.250 0.250
In1 0.500 0.500 0.500
Ru1 0.750 0.750 0.750

---

Here is crystalline PIrW2 at its relaxed geometry from Alexandria via LeMat-Bulk. Energies are from PBE.

Calculated values
**DFT total energy**: -40.5 eV/cell
**DOS(E_F)**: 1.1 states/eV/f.u.
**Space group**: Amm2
**E_form**: -0.092 eV/atom

Cell lengths 5.379, 5.379, 3.968 Å; angles 90.00, 90.00, 149.11 degrees
Positions (direct):
W1 0.954 0.046 0.000
Ir1 0.683 0.317 0.000
P1 0.553 0.447 0.500
W2 0.314 0.686 0.500

---

Here is crystalline ZrBeSb at its relaxed geometry from Alexandria via LeMat-Bulk. Energies are from PBE.

Calculated values
**Polymorph energy (0 for the lowest one)**: 0.550 eV per atom
**DFT total energy**: -15.2 eV/cell
**DOS(E_F)**: 2.4 states/eV/f.u.
**Space group**: F-43m
**Uncorrected formation energy**: 0.3985 eV per atom

Cell lengths 4.616, 4.616, 4.616 Å; angles 60.00, 60.00, 60.00 degrees
Positions (direct):
Zr1 0.750 0.750 0.750
Sb1 0.500 0.500 0.500
Be1 0.000 0.000 0.000

---

Here is crystalline LiErTm4Se8 at its relaxed geometry from Alexandria via LeMat-Bulk. Energies are from PBE.

Calculated values
**DFT total energy**: -77.0 eV/cell
**DOS(E_F)**: 0.0 states/eV/f.u.
**Space group**: R3m
**Uncorrected formation energy**: -1.7718 eV per atom

Cell lengths 8.262, 8.262, 8.273 Å; angles 60.04, 60.04, 60.00 degrees
Positions (direct):
Se1 0.766 0.245 0.744
Se2 0.245 0.245 0.744
Se3 0.245 0.766 0.744
Li1 0.375 0.375 0.875
Se4 0.758 0.758 0.260
Se5 0.759 0.759 0.724
Er1 0.005 0.005 0.984
Se6 0.758 0.225 0.260
Tm1 0.005 0.484 0.505
Tm2 0.484 0.005 0.505
Tm3 0.005 0.005 0.505
Tm4 0.625 0.625 0.124
Se7 0.245 0.245 0.266
Se8 0.225 0.758 0.260

---

Here is crystalline BaTi2HgAs at its relaxed geometry from Alexandria via LeMat-Bulk. Energies are from PBE.

Calculated values
**DFT total energy**: -14.2 eV/cell
**DOS(E_F)**: 6.8 states/eV/f.u.
**Space group**: P4/mmm
**E_form**: 1.692 eV/atom

Cell lengths 5.156, 5.593, 5.156 Å; angles 90.00, 90.00, 90.00 degrees
Positions (direct):
Ti1 0.000 0.000 0.500
Ba1 0.000 0.000 0.000
Ti2 0.500 0.000 0.000
As1 0.000 0.500 0.000
Hg1 0.500 0.500 0.500

---

Here is crystalline NdThAu at its relaxed geometry from Alexandria via LeMat-Bulk. Energies are from PBE.

Calculated values
**Polymorph energy (0 for the lowest one)**: 0.189 eV per atom
**DFT total energy**: -16.1 eV/cell
**DOS(E_F)**: 3.1 states/eV/f.u.
**Space group**: P3m1
**E_form**: -0.213 eV/atom

Cell lengths 3.739, 5.051, 5.051 Å; angles 120.00, 90.00, 90.00 degrees
Positions (direct):
Th1 0.049 0.000 0.000
Nd1 0.661 0.667 0.333
Au1 0.290 0.333 0.667

---

Here is crystalline Be2AgAs at its relaxed geometry from Alexandria via LeMat-Bulk. Energies are from PBE.

Calculated values
**DFT total energy**: -13.7 eV/cell
**DOS(E_F)**: 0.7 states/eV/f.u.
**Space group**: Pmmm
**E_form**: 0.306 eV/atom

Cell lengths 3.518, 2.995, 5.454 Å; angles 89.96, 90.00, 90.00 degrees
Positions (direct):
As1 0.500 0.750 0.750
Be1 0.000 0.750 0.035
Ag1 0.500 0.250 0.250
Be2 0.000 0.750 0.465

---

Here is crystalline SrInMo3 at its relaxed geometry from Alexandria via LeMat-Bulk. Energies are from PBE.

Calculated values
**Polymorph energy (0 for the lowest one)**: 0.000 eV per atom
**DFT total energy**: -26.8 eV/cell
**DOS(E_F)**: 9.5 states/eV/f.u.
**Space group**: Pm-3m
**E_form**: 2.020 eV/atom

Cell lengths 5.058, 5.058, 5.058 Å; angles 90.00, 90.00, 90.00 degrees
Positions (direct):
Mo1 0.000 0.500 0.000
Mo2 0.000 0.000 0.500
In1 0.000 0.000 0.000
Mo3 0.500 0.000 0.000
Sr1 0.500 0.500 0.500

---

Here is crystalline NiRh2 at its relaxed geometry from Alexandria via LeMat-Bulk. Energies are from PBE.

Calculated values
**Polymorph energy (0 for the lowest one)**: 0.087 eV per atom
**DFT total energy**: -40.2 eV/cell
**DOS(E_F)**: 5.8 states/eV/f.u.
**Space group**: Cmcm
**E_form**: 0.127 eV/atom

Cell lengths 7.045, 7.045, 2.741 Å; angles 90.00, 90.00, 144.16 degrees
Positions (direct):
Rh1 0.227 0.773 0.750
Rh2 0.773 0.227 0.250
Ni1 0.071 0.929 0.250
Rh3 0.591 0.409 0.750
Ni2 0.929 0.071 0.750
Rh4 0.409 0.591 0.250

---

Here is crystalline LiB2HS at its relaxed geometry from Alexandria via LeMat-Bulk. Energies are from PBE.

Calculated values
**DFT total energy**: -17.1 eV/cell
**DOS(E_F)**: 1.3 states/eV/f.u.
**Space group**: P4/mmm

Cell lengths 4.004, 3.033, 4.004 Å; angles 90.00, 90.00, 90.00 degrees
Positions (direct):
B1 0.500 0.000 0.000
H1 0.000 0.500 0.000
Li1 0.500 0.500 0.500
B2 0.000 0.000 0.500
S1 0.000 0.000 0.000

---

Here is crystalline Y2Tc at its relaxed geometry from Alexandria via LeMat-Bulk. Energies are from PBE.

Calculated values
**Polymorph energy (0 for the lowest one)**: 0.874 eV per atom
**DFT total energy**: -82.8 eV/cell
**DOS(E_F)**: 3.0 states/eV/f.u.
**Space group**: P6_3/mmc
**E_form**: 0.862 eV/atom

Cell lengths 6.422, 6.422, 8.109 Å; angles 90.00, 90.00, 60.00 degrees
Positions (direct):
Y1 0.000 0.000 0.000
Tc1 0.667 0.667 0.107
Tc2 0.333 0.333 0.607
Y2 0.816 0.816 0.750
Tc3 0.333 0.333 0.893
Y3 0.184 0.632 0.250
Y4 0.000 0.000 0.500
Y5 0.816 0.368 0.750
Y6 0.632 0.184 0.250
Tc4 0.667 0.667 0.393
Y7 0.368 0.816 0.750
Y8 0.184 0.184 0.250

---

Here is crystalline Ba3Sr3InGa2 at its relaxed geometry from Alexandria via LeMat-Bulk. Energies are from PBE.

Calculated values
**DFT total energy**: -22.0 eV/cell
**DOS(E_F)**: 12.4 states/eV/f.u.
**Space group**: P-62m
**E_form**: -0.263 eV/atom

Cell lengths 5.636, 8.694, 8.694 Å; angles 120.00, 90.00, 90.00 degrees
Positions (direct):
Sr1 0.500 0.739 0.000
Ga1 0.500 0.333 0.667
Ga2 0.500 0.667 0.333
Ba1 0.000 0.000 0.417
In1 0.000 0.000 0.000
Ba2 0.000 0.417 0.000
Sr2 0.500 0.261 0.261
Ba3 0.000 0.583 0.583
Sr3 0.500 0.000 0.739

---

Here is crystalline AgPPb at its relaxed geometry from Alexandria via LeMat-Bulk. Energies are from PBE.

Calculated values
**Polymorph energy (0 for the lowest one)**: 0.404 eV per atom
**DFT total energy**: -31.3 eV/cell
**DOS(E_F)**: 0.4 states/eV/f.u.
**Space group**: P-62m
**E_form**: 0.514 eV/atom

Cell lengths 7.668, 7.668, 4.176 Å; angles 90.00, 90.00, 120.00 degrees
Positions (direct):
Ag1 0.738 0.000 0.000
Ag2 0.000 0.738 0.000
P1 0.354 0.000 0.500
P2 0.000 0.354 0.500
Pb1 0.333 0.667 0.000
Pb2 0.667 0.333 0.000
P3 0.646 0.646 0.500
Pb3 0.000 0.000 0.500
Ag3 0.262 0.262 0.000

---

Here is crystalline HoCo4Ir at its relaxed geometry from Alexandria via LeMat-Bulk. Energies are from PBE.

Calculated values
**DFT total energy**: -42.7 eV/cell
**DOS(E_F)**: 7.1 states/eV/f.u.
**Space group**: F-43m
**E_form**: -0.135 eV/atom

Cell lengths 4.884, 4.884, 4.884 Å; angles 60.00, 60.00, 60.00 degrees
Positions (direct):
Ir1 0.250 0.250 0.250
Co1 0.126 0.625 0.625
Co2 0.625 0.625 0.126
Ho1 0.000 0.000 0.000
Co3 0.625 0.126 0.625
Co4 0.625 0.625 0.625

---

Here is crystalline Ta2TiV2Ru5 at its relaxed geometry from Alexandria via LeMat-Bulk. Energies are from PBE.

Calculated values
**DFT total energy**: -195.5 eV/cell
**DOS(E_F)**: 6.8 states/eV/f.u.
**Space group**: P4/mbm
**E_form**: -0.151 eV/atom

Cell lengths 3.532, 9.301, 9.301 Å; angles 90.00, 90.00, 90.00 degrees
Positions (direct):
Ru1 0.500 0.067 0.798
Ta1 0.000 0.173 0.327
V1 0.000 0.872 0.372
V2 0.000 0.372 0.128
Ta2 0.000 0.327 0.827
Ru2 0.500 0.500 0.000
V3 0.000 0.628 0.872
Ru3 0.500 0.798 0.933
Ta3 0.000 0.673 0.173
Ru4 0.500 0.298 0.567
Ru5 0.500 0.702 0.433
Ti1 0.000 0.000 0.000
Ru6 0.500 0.567 0.702
Ti2 0.000 0.500 0.500
Ru7 0.500 0.000 0.500
V4 0.000 0.128 0.628
Ru8 0.500 0.933 0.202
Ta4 0.000 0.827 0.673
Ru9 0.500 0.433 0.298
Ru10 0.500 0.202 0.067

---

Here is crystalline MnRh2Pb2 at its relaxed geometry from Alexandria via LeMat-Bulk. Energies are from PBE.

Calculated values
**DFT total energy**: -58.0 eV/cell
**DOS(E_F)**: 8.3 states/eV/f.u.
**Space group**: P4/mbm
**E_form**: 0.454 eV/atom

Cell lengths 6.635, 6.635, 4.328 Å; angles 90.00, 90.00, 90.00 degrees
Positions (direct):
Pb1 0.672 0.828 0.500
Pb2 0.172 0.672 0.500
Mn1 0.000 0.000 0.000
Mn2 0.500 0.500 0.000
Rh1 0.644 0.144 0.000
Pb3 0.828 0.328 0.500
Rh2 0.144 0.356 0.000
Pb4 0.328 0.172 0.500
Rh3 0.356 0.856 0.000
Rh4 0.856 0.644 0.000

---

Here is crystalline GdBiSb at its relaxed geometry from Alexandria via LeMat-Bulk. Energies are from PBE.

Calculated values
**Polymorph energy (0 for the lowest one)**: 0.000 eV per atom
**DFT total energy**: -23.8 eV/cell
**DOS(E_F)**: 2.1 states/eV/f.u.
**Space group**: I4mm
**Uncorrected formation energy**: -0.5855 eV per atom

Cell lengths 4.104, 4.104, 5.954 Å; angles 110.16, 110.16, 90.00 degrees
Positions (direct):
Gd1 0.273 0.273 0.546
Bi1 0.939 0.939 0.877
Sb1 0.638 0.638 0.277

---

no.,ρ (g/cm3)
1,2.00
2,5.50
3,5.42
4,7.36
5,4.35
6,7.05
7,8.82
8,16.20
9,7.73
10,16.65
11,5.30
12,6.16
13,5.68
14,11.52
15,5.80
16,6.29
17,11.03
18,2.10
19,6.33
20,4.18
21,8.11
22,11.95
23,11.05
24,11.77
25,9.25